No. 1
Material: Pr4Nd8Dy
Method: DFT, PBE
State: optimized geometry

a = 11.9211 Å, b = 11.9211 Å, c = 11.8024 Å
α = 90.00°, β = 90.00°, γ = 120.00°
With the nearest neighbours (Å) after each atom.
Space group R-3m (No. 166, hexagonal axes)
Inequivalent atoms, fractional coordinates:
Pr 0.0000 0.0000 0.0000  2 Nd 2.86
Pr 0.0000 0.5000 0.0000  6 Nd 3.45-3.61
Nd 0.0000 0.0000 0.2423  1 Pr 2.86, 1 Dy 3.04
Nd 0.0017 0.5008 0.6670  3 Pr 3.42-3.45, 3 Nd 3.42-3.62
Dy 0.0000 0.0000 0.5000  2 Nd 3.04

Summary:
As for the crystal system: trigonal. The formation energy comes out at 5.04 eV/f.u. The value obtained for the spin magnetization is 0.000 μB per formula unit. The calculated volume comes out at 37.25 Å³ per atom.


No. 2
Material: Y2MgRhN
Method: DFT, PBE
State: optimized geometry

a = 4.7881 Å, b = 4.7881 Å, c = 4.0920 Å
α = 90.00°, β = 90.00°, γ = 90.00°
With the nearest neighbours (Å) after each atom.
Space group P4/mmm (No. 123)
Inequivalent atoms, fractional coordinates:
Y 0.0000 0.5000 0.0000  2 N 2.39
Mg 0.0000 0.0000 0.5000  2 N 2.05
Rh 0.5000 0.5000 0.5000  8 Y 3.15, 4 Mg 3.39
N 0.0000 0.0000 0.0000  2 Mg 2.05

Summary:
As for the crystal system: tetragonal. The calculation puts the formation energy from raw total energies at -0.82 eV per atom. The value obtained for the spin magnetization is 0.000 μB per formula unit. The calculated volume comes out at 18.76 Å³ per atom.


No. 3
Material: Ba2ZnSn
Method: DFT, PBE
State: optimized geometry

a = 5.9829 Å, b = 5.9829 Å, c = 4.1727 Å
α = 90.00°, β = 90.00°, γ = 90.00°
With the nearest neighbours (Å) after each atom.
Space group P4/mmm (No. 123)
Inequivalent atoms, fractional coordinates:
Ba 0.0000 0.5000 0.0000  4 Sn 3.65, 4 Zn 3.65
Zn 0.0000 0.0000 0.5000  8 Ba 3.65
Sn 0.5000 0.5000 0.5000  8 Ba 3.65

Summary:
As for the crystal system: tetragonal. The formation energy comes out at -1.56 eV/f.u. The value obtained for the spin magnetization is 0.000 μB per formula unit. The calculated volume comes out at 37.34 Å³ per atom.


No. 4
Material: CeMgSi2Ir2
Method: DFT, PBE
State: optimized geometry

a = 4.2450 Å, b = 4.2450 Å, c = 6.7654 Å
α = 90.00°, β = 90.00°, γ = 120.00°
With the nearest neighbours (Å) after each atom.
Space group P-3m1 (No. 164)
Inequivalent atoms, fractional coordinates:
Ce 0.0000 0.0000 0.0000  6 Ir 3.15, 6 Si 3.20, 2 Mg 3.38
Mg 0.0000 0.0000 0.5000  6 Si 2.78, 6 Ir 2.83
Si 0.3333 0.6667 0.3045  4 Ir 2.45-2.73
Ir 0.3333 0.6667 0.7081  4 Si 2.45-2.73

Summary:
As for the crystal system: trigonal. The calculation puts the formation energy from raw total energies at -0.76 eV per atom. The value obtained for the spin magnetization is 0.323 μB per formula unit. The calculated volume comes out at 17.60 Å³ per atom.


- What is the formula in the first record?
  Pr4Nd8Dy


- spin magnetization of number 1 (Pr4Nd8Dy)?
  0.000 μB per formula unit